Model w:
Here is crystalline CsGaHg at its relaxed geometry from the Alexandria database. Energies are from GGA-PBE.

## Properties
Space group: P-6m2 (187)
Total moment: 0.00 μB/f.u.
V: 39.45 Å³ per atom

abc: 5.903 4.812 4.812
angles: 120.00 90.00 90.00
Positions (direct):
Cs (0.667, 0.333, 0.667)
Hg (0.167, 0.000, 0.000)
Ga (0.167, 0.667, 0.333)

=====

Model x:
Here is crystalline CsGaHg at its relaxed geometry from the Alexandria database. Energies are from GGA-PBE.

## Properties
Space group: P2_1/m (11)
Total moment: 0.00 μB/f.u.
V: 38.27 Å³ per atom

abc: 4.726 5.113 9.596
angles: 97.94 89.99 90.02
Positions (direct):
Cs (0.312, 0.867, 0.251)
Cs (0.812, 0.290, 0.923)
Ga (0.812, 0.963, 0.551)
Ga (0.312, 0.195, 0.622)
Hg (0.812, 0.440, 0.436)
Hg (0.312, 0.718, 0.737)

=====

Model y:
Here is crystalline CsGaHg at its relaxed geometry from the Alexandria database. Energies are from GGA-PBE.

## Properties
Space group: I4mm (107)
Total moment: 0.00 μB/f.u.
V: 34.23 Å³ per atom

abc: 3.910 3.910 7.264
angles: 105.62 105.62 90.00
Positions (direct):
Cs (0.001, 0.001, 0.001)
Hg (0.287, 0.287, 0.574)
Ga (0.712, 0.712, 0.425)

=====

The most stable of them is model x.

=====

Model w:
Here is crystalline CsGa3Hg at its relaxed geometry from the Alexandria database. Energies are from GGA-PBE.

## Properties
Space group: Pm-3m (221)
Total moment: 0.00 μB/f.u.
V: 53.06 Å³ per atom

abc: 6.426 6.426 6.426
angles: 90.00 90.00 90.00
Positions (direct):
Cs (0.000, 0.000, 0.000)
Hg (0.500, 0.500, 0.500)
Ga (0.000, 0.500, 0.000)
Ga (0.000, 0.000, 0.500)
Ga (0.500, 0.000, 0.000)

=====

Model x:
Here is crystalline CsGa3Hg at its relaxed geometry from the Alexandria database. Energies are from GGA-PBE.

## Properties
Space group: Pm-3m (221)
Total moment: 0.00 μB/f.u.
V: 34.04 Å³ per atom

abc: 5.542 5.542 5.542
angles: 90.00 90.00 90.00
Positions (direct):
Cs (0.500, 0.500, 0.500)
Ga (0.000, 0.500, 0.000)
Ga (0.000, 0.000, 0.500)
Ga (0.500, 0.000, 0.000)
Hg (0.000, 0.000, 0.000)

=====

The most stable of them is model x.

=====

Model w:
Here is crystalline CsGaHg4 at its relaxed geometry from the Alexandria database. Energies are from GGA-PBE.

## Properties
Space group: F-43m (216)
Total moment: 0.00 μB/f.u.
V: 31.53 Å³ per atom

abc: 6.444 6.444 6.444
angles: 60.00 60.00 60.00
Positions (direct):
Cs (0.250, 0.250, 0.250)
Hg (0.626, 0.626, 0.121)
Hg (0.626, 0.121, 0.626)
Hg (0.626, 0.626, 0.626)
Hg (0.121, 0.626, 0.626)
Ga (0.000, 0.000, 0.000)

=====

Model x:
Here is crystalline CsGaHg4 at its relaxed geometry from the Alexandria database. Energies are from GGA-PBE.

## Properties
Space group: C2/m (12)
Total moment: 0.00 μB/f.u.
V: 33.46 Å³ per atom

abc: 5.449 7.882 10.340
angles: 112.40 101.12 90.00
Positions (direct):
Cs (0.854, 0.786, 0.572)
Cs (0.146, 0.214, 0.428)
Ga (0.238, 0.457, 0.915)
Ga (0.762, 0.543, 0.085)
Hg (0.261, 0.643, 0.286)
Hg (0.445, 0.098, 0.809)
Hg (0.000, 0.187, 0.000)
Hg (0.555, 0.289, 0.191)
Hg (0.739, 0.357, 0.714)
Hg (0.555, 0.902, 0.191)
Hg (0.000, 0.813, 0.000)
Hg (0.445, 0.711, 0.809)

=====

The most stable of them is model x.

=====

Model w:
Here is crystalline CsGaHg2I at its relaxed geometry from the Alexandria database. Energies are from GGA-PBE.

## Properties
Space group: P4/mmm (123)
Total moment: 0.00 μB/f.u.
V: 70.68 Å³ per atom

abc: 6.994 7.224 6.994
angles: 90.00 90.00 90.00
Positions (direct):
Cs (0.000, 0.000, 0.000)
I (0.500, 0.500, 0.500)
Hg (0.000, 0.000, 0.500)
Hg (0.500, 0.000, 0.000)
Ga (0.000, 0.500, 0.000)

=====

Model x:
Here is crystalline CsGaHg2I at its relaxed geometry from the Alexandria database. Energies are from GGA-PBE.

## Properties
Space group: P4/mmm (123)
Total moment: 0.00 μB/f.u.
V: 39.80 Å³ per atom

abc: 5.501 5.501 6.576
angles: 90.00 90.00 90.00
Positions (direct):
Cs (0.500, 0.500, 0.500)
I (0.000, 0.000, 0.500)
Hg (0.000, 0.500, 0.000)
Hg (0.500, 0.000, 0.000)
Ga (0.000, 0.000, 0.000)

=====

The most stable of them is model x.